1.
Computed, not measured: a geometry-optimized Tb4ScIn structure at the PBE level of DFT.

```
Tb4ScIn
1.0
-0.4691 2.8844 1.8641
-5.9819 3.1734 -6.4157
-4.2678 -2.4735 2.7532
In Tb Sc
1 4 1
direct
0.0000 0.0000 0.0000
0.0000 0.8134 0.4998
0.5000 0.3083 0.0000
0.0000 0.1866 0.5002
0.5000 0.6917 0.0000
0.5000 0.5000 0.5000
```

Calculated values
Total energy = -27.44 eV for the cell shown
Space-group type = Pmmm, No. 47
ΔE to the lowest computed polymorph = 0.0 meV per atom
Energy of formation from the pure elements = 0.0257 eV/atom



2.
Computed, not measured: a geometry-optimized K2RbPd structure at the PBE level of DFT.

```
K2RbPd
1.0
5.2912 0.0000 0.0000
2.6456 4.5823 0.0000
2.6456 1.5274 8.9051
Rb K Pd
1 2 1
direct
0.5135 0.5135 0.4595
0.0440 0.0440 0.8680
0.2874 0.2874 0.1378
0.6551 0.6551 0.0347
```

Calculated values
Total energy = -7.89 eV for the cell shown
Space-group type = R3m, No. 160
ΔE to the lowest computed polymorph = 0.0 meV per atom
Energy of formation from the pure elements = 0.1172 eV/atom



3.
Computed, not measured: a geometry-optimized Tb2GaBRh6 structure at the PBE level of DFT.

```
Tb2GaBRh6
1.0
6.2036 0.0002 0.0039
0.0001 6.2042 0.0038
3.1046 3.1049 4.3923
Tb Rh Ga B
2 6 1 1
direct
0.2499 0.7500 0.5000
0.7501 0.2500 0.4999
0.2676 0.2678 0.9998
0.7323 0.2676 0.0000
0.7324 0.7322 0.0002
0.2677 0.7324 0.0000
0.7325 0.7325 0.5351
0.2675 0.2675 0.4649
0.0000 0.0000 0.0000
0.5000 0.5000 0.0000
```

Calculated values
Total energy = -68.88 eV for the cell shown
Space-group type = Immm, No. 71
Energy of formation from the pure elements = -0.5802 eV/atom



4.
Computed, not measured: a geometry-optimized Tl2RhPb structure at the PBE level of DFT.

```
Tl2RhPb
1.0
-4.4342 -7.2050 -5.8187
-1.6202 -8.8723 -4.9079
-4.3264 -8.8627 -2.8575
Tl Pb Rh
2 1 1
direct
0.7336 0.7336 0.7336
0.2664 0.2664 0.2664
0.5000 0.5000 0.5000
0.0000 0.0000 0.0000
```

Calculated values
Total energy = -15.14 eV for the cell shown
Space-group type = R-3m, No. 166
ΔE to the lowest computed polymorph = 124.5 meV per atom
Energy of formation from the pure elements = 0.1643 eV/atom



5.
Computed, not measured: a geometry-optimized Mn5GaIr6 structure at the PBE level of DFT.

```
Mn5GaIr6
1.0
-1.7514 -1.3694 -3.3468
-3.8368 -2.6639 5.5097
-0.2840 7.2071 -0.3886
Ga Ir Mn
1 6 5
direct
0.0000 0.0000 0.0000
0.2489 0.7489 0.7489
0.2505 0.0827 0.4183
0.2505 0.4183 0.0827
0.7495 0.5817 0.9173
0.7495 0.9173 0.5817
0.7511 0.2511 0.2511
0.5000 0.8325 0.1675
0.5000 0.1675 0.8325
0.5000 0.5000 0.5000
0.0000 0.3363 0.6637
0.0000 0.6637 0.3363
```

Calculated values
Total energy = -104.24 eV for the cell shown
Space-group type = Immm, No. 71
Energy of formation from the pure elements = -0.1837 eV/atom



6.
Computed, not measured: a geometry-optimized SrTl2InRh structure at the PBE level of DFT.

```
SrTl2InRh
1.0
-0.4744 -5.2759 0.1675
3.5784 -0.4450 -3.8839
3.7961 -0.2294 3.5239
Sr Tl Rh In
1 2 1 1
direct
0.5000 0.5000 0.5000
0.0000 0.5000 0.0000
0.5000 0.0000 0.0000
0.0000 0.0000 0.0000
0.0000 0.0000 0.5000
```

Calculated values
Total energy = -17.37 eV for the cell shown
Space-group type = P4/mmm, No. 123
Energy of formation from the pure elements = -0.1733 eV/atom



7.
Computed, not measured: a geometry-optimized PmGa4Au8 structure at the PBE level of DFT.

```
PmGa4Au8
1.0
-0.5316 -5.4281 -0.5671
5.2820 -3.6253 3.2373
-3.8454 -2.9464 5.2966
Au Ga Pm
8 4 1
direct
0.6642 0.3358 0.3358
0.0000 0.3358 0.6642
0.7158 0.7842 0.7842
0.5000 0.7842 0.2158
0.5000 0.2158 0.7842
0.3358 0.6642 0.6642
0.0000 0.6642 0.3358
0.2842 0.2158 0.2158
0.5000 0.5000 0.0000
0.5000 0.0000 0.5000
0.0000 0.0000 0.5000
0.0000 0.5000 0.0000
0.0000 0.0000 0.0000
```

Calculated values
Total energy = -46.99 eV for the cell shown
Space-group type = I4/mmm, No. 139
Energy of formation from the pure elements = -0.3007 eV/atom



8.
Computed, not measured: a geometry-optimized CaNi6 structure at the PBE level of DFT.

```
CaNi6
1.0
5.4089 0.0000 0.0000
-1.8030 5.0996 0.0000
-1.8030 -2.5498 4.4164
Ni Ca
6 1
direct
0.5000 0.2500 0.7500
0.2500 0.5000 0.7500
0.7500 0.2500 0.5000
0.7500 0.5000 0.2500
0.5000 0.7500 0.2500
0.2500 0.7500 0.5000
0.0000 0.0000 0.0000
```

Calculated values
Total energy = -33.42 eV for the cell shown
Space-group type = Im-3m, No. 229
ΔE to the lowest computed polymorph = 481.2 meV per atom
Energy of formation from the pure elements = 0.4673 eV/atom



9.
Computed, not measured: a geometry-optimized LaBe3Pt structure at the PBE level of DFT.

```
LaBe3Pt
1.0
6.8468 -0.0036 0.0002
0.0033 6.1355 -0.0001
-0.0001 0.0000 3.9142
Pt Be La
2 6 2
direct
0.8041 0.7216 0.7134
0.0967 0.2216 0.2134
0.9623 0.0469 0.7133
0.9624 0.3964 0.7133
0.2539 0.2217 0.7134
0.9385 0.8964 0.2134
0.9386 0.5469 0.2133
0.6471 0.7216 0.2134
0.3023 0.7215 0.7135
0.5985 0.2215 0.2134
```

Calculated values
Total energy = -48.82 eV for the cell shown
Space-group type = Pmmn, No. 59
ΔE to the lowest computed polymorph = 38.1 meV per atom
Energy of formation from the pure elements = -0.4526 eV/atom



10.
Computed, not measured: a geometry-optimized TePdS3 structure at the PBE level of DFT.

```
TePdS3
1.0
4.6929 0.0000 0.0000
0.0000 4.6929 0.0000
0.0000 0.0000 4.6929
S Pd Te
3 1 1
direct
0.0000 0.5000 0.0000
0.0000 0.0000 0.5000
0.5000 0.0000 0.0000
0.0000 0.0000 0.0000
0.5000 0.5000 0.5000
```

Calculated values
Energy relative to the elements, uncorrected = 0.458 eV/atom
Total energy = -18.43 eV for the cell shown
Space-group type = Pm-3m, No. 221
ΔE to the lowest computed polymorph = 0.0 meV per atom



11.
Computed, not measured: a geometry-optimized Cs2P2Pd3 structure at the PBE level of DFT.

```
Cs2P2Pd3
1.0
-2.3800 5.6644 -3.4956
-2.7017 -1.6353 7.8724
5.2769 3.8251 2.6055
P Pd Cs
4 6 4
direct
0.2743 0.6082 0.3668
0.7257 0.3918 0.6332
0.2257 0.8918 0.8668
0.7743 0.1082 0.1332
0.9177 0.3483 0.3751
0.4177 0.8483 0.1249
0.5000 0.5000 0.5000
0.5823 0.1517 0.8751
0.0823 0.6517 0.6249
0.0000 0.0000 0.0000
0.2351 0.4243 0.8900
0.2649 0.0757 0.3900
0.7649 0.5757 0.1100
0.7351 0.9243 0.6100
```

Calculated values
Total energy = -61.44 eV for the cell shown
Space-group type = P2_1/c, No. 14
Energy of formation from the pure elements = -0.3732 eV/atom



12.
Computed, not measured: a geometry-optimized Cd2SiGePt structure at the PBE level of DFT.

```
Cd2SiGePt
1.0
5.2381 0.0000 0.0000
0.0000 4.5120 0.0000
0.0000 0.0000 5.2381
Pt Ge Cd Si
1 1 2 1
direct
0.0000 0.0000 0.0000
0.5000 0.5000 0.5000
0.5000 0.0000 0.0000
0.0000 0.0000 0.5000
0.0000 0.5000 0.0000
```

Calculated values
Energy relative to the elements, uncorrected = 0.234 eV/atom
Total energy = -16.74 eV for the cell shown
Space-group type = P4/mmm, No. 123
ΔE to the lowest computed polymorph = 0.0 meV per atom